Rb6TiF12 after structural relaxation. Source: Alexandria via LeMat-Bulk, functional PBE-GGA.

Lattice parameters (Å, degrees): 7.6632 7.6632 7.6632 99.07 99.07 99.07
Last column: nearest neighbours and their distance in Å.
Element x y z (fractional)
Rb: 0.1577 0.6068 0.2683  6 F 2.76-2.99
Rb: 0.2683 0.1577 0.6068  6 F 2.76-2.99
Rb: 0.3932 0.7317 0.8423  6 F 2.76-2.99
Rb: 0.6068 0.2683 0.1577  6 F 2.76-2.99
Rb: 0.7317 0.8423 0.3932  6 F 2.76-2.99
Rb: 0.8423 0.3932 0.7317  6 F 2.76-2.99
Ti: 0.0000 0.0000 0.0000  6 F 1.90
F: 0.0089 0.7508 0.9471  1 Ti 1.90
F: 0.0529 0.9911 0.2492  1 Ti 1.90
F: 0.1424 0.4725 0.5801  1 F 2.46
F: 0.2492 0.0529 0.9911  1 Ti 1.90
F: 0.4199 0.8576 0.5275  1 F 2.46
F: 0.4725 0.5801 0.1424  1 F 2.46
F: 0.5275 0.4199 0.8576  1 F 2.46
F: 0.5801 0.1424 0.4725  1 F 2.46
F: 0.7508 0.9471 0.0089  1 Ti 1.90
F: 0.8576 0.5275 0.4199  1 F 2.46
F: 0.9471 0.0089 0.7508  1 Ti 1.90
F: 0.9911 0.2492 0.0529  1 Ti 1.90

space-group type: R-3, No. 148
N(E_F): 0.446 states/eV/atom
formation energy (no corrections): -2673 meV/atom